(1)
Material: LiSi2Pd3
Method: DFT, GGA-PBE
State: optimized geometry

The structure in extended XYZ format:
```
18
Lattice="-2.214 -3.110 0.791 5.661 0.117 6.691 -6.566 5.209 2.105" Properties=species:S:1:pos:R:3 pbc="T T T"
Li -3.218 3.107 3.211
Li 0.099 -0.891 6.377
Li 0.000 0.000 0.000
Si 1.059 -0.091 2.603
Si -4.178 2.308 6.985
Si 2.921 -0.310 6.952
Si -6.040 2.526 2.636
Si -0.394 1.874 6.261
Si -2.725 0.342 3.327
Pd -1.669 1.523 1.319
Pd -1.450 0.693 8.269
Pd -0.412 1.289 3.915
Pd -2.707 0.927 5.673
Pd -1.072 -1.156 2.060
Pd -2.047 3.373 7.528
Pd -4.390 1.049 1.448
Pd 2.286 -0.455 4.607
Pd -5.405 2.671 4.981
```

Properties
Offset from the most stable computed form   0 meV/atom
Uncorrected formation energy   -0.554 eV per atom
Space-group type   C2/m, No. 12


(2)
Material: TbDy4Tm2Sc
Method: DFT, GGA-PBE
State: optimized geometry

The structure in extended XYZ format:
```
8
Lattice="-0.115 3.962 -2.964 0.030 -2.962 -3.961 -9.833 -3.177 -3.868" Properties=species:S:1:pos:R:3 pbc="T T T"
Tb -0.042 0.500 -3.462
Dy -7.301 -4.604 -5.872
Dy -2.617 2.427 -4.920
Dy -2.543 -1.035 -5.418
Dy -7.375 -1.142 -5.374
Tm -9.833 -3.177 -3.868
Tm -4.974 0.392 -3.416
Sc -4.902 -3.070 -3.914
```

Properties
Space-group type   P4/mmm, No. 123
Final energy   -4.757 eV/atom